No. 1
VASP calculation (SCAN) on a crystal of NbV3P6O24 relaxed with PBEsol.

Cell and atoms, written as CIF:
```
data_NbV3P6O24
_chemical_formula_sum 'Nb3 V9 P18 O72'
_cell_length_a 8.5029
_cell_length_b 8.5029
_cell_length_c 21.7341
_cell_angle_alpha 90.00
_cell_angle_beta 90.00
_cell_angle_gamma 120.00
_space_group_name_H-M_alt 'R 3'
_space_group_IT_number 146
_space_group_name_Hall 'R 3'
loop_
_atom_site_label
_atom_site_fract_x
_atom_site_fract_y
_atom_site_fract_z
Nb1 0.0000 0.0000 0.0000
V1 0.0000 0.0000 0.2813
V2 0.0000 0.0000 0.4994
V3 0.0000 0.0000 0.7814
P1 0.0024 0.2873 0.8882
P2 0.0131 0.7307 0.3905
O1 0.0138 0.1884 0.5471
O2 0.0294 0.1962 0.8317
O3 0.0383 0.8284 0.0485
O4 0.0467 0.8468 0.3330
O5 0.1625 0.6826 0.1152
O6 0.1684 0.4626 0.6120
O7 0.1728 0.6971 0.3982
O8 0.1775 0.4689 0.8989
```

Properties
**Energy relative to the elements, uncorrected**: -85.4 eV/f.u.



No. 2
VASP calculation (SCAN) on a crystal of NbP2WO relaxed with PBEsol.

Cell and atoms, written as CIF:
```
data_NbP2WO
_chemical_formula_sum 'Nb1 P2 W1 O1'
_cell_length_a 4.756
_cell_length_b 4.756
_cell_length_c 3.669
_cell_angle_alpha 90.00
_cell_angle_beta 90.00
_cell_angle_gamma 90.00
_space_group_name_H-M_alt 'P 4/m m m'
_space_group_IT_number 123
_space_group_name_Hall '-P 4 2'
loop_
_atom_site_label
_atom_site_fract_x
_atom_site_fract_y
_atom_site_fract_z
Nb1 0.000 0.000 0.000
P1 0.000 0.500 0.500
W1 0.500 0.500 0.500
O1 0.500 0.500 0.000
```

Properties
**Energy relative to the elements, uncorrected**: -0.5 eV/f.u.



No. 3
VASP calculation (SCAN) on a crystal of NbZnPO2 relaxed with PBEsol.

Cell and atoms, written as CIF:
```
data_NbZnPO2
_chemical_formula_sum 'Nb1 Zn1 P1 O2'
_cell_length_a 3.854
_cell_length_b 3.854
_cell_length_c 5.268
_cell_angle_alpha 90.00
_cell_angle_beta 90.00
_cell_angle_gamma 90.00
_space_group_name_H-M_alt 'P 4/m m m'
_space_group_IT_number 123
_space_group_name_Hall '-P 4 2'
loop_
_atom_site_label
_atom_site_fract_x
_atom_site_fract_y
_atom_site_fract_z
Nb1 0.000 0.000 0.000
Zn1 0.500 0.500 0.500
P1 0.000 0.000 0.500
O1 0.000 0.500 0.000
```

Properties
**Energy relative to the elements, uncorrected**: -6.6 eV/f.u.